i | ## Dy2ScTl (PBE)

Data for crystalline Dy2ScTl at its relaxed geometry.

Cell and atoms, written as extended XYZ:
```
16
Lattice="3.346 0.000 0.000 0.000 25.499 0.000 0.000 0.000 5.501" Properties=species:S:1:pos:R:3 pbc="T T T"
Dy 0.000 2.316 1.375
Dy 0.000 4.483 4.126
Dy 0.000 21.017 1.375
Dy 0.000 23.184 4.126
Dy 1.673 8.267 1.375
Dy 1.673 10.434 4.126
Dy 1.673 15.066 1.375
Dy 1.673 17.233 4.126
Sc 0.000 0.785 4.126
Sc 0.000 24.715 1.375
Sc 1.673 11.965 1.375
Sc 1.673 13.535 4.126
Tl 0.000 7.637 4.126
Tl 0.000 17.862 1.375
Tl 1.673 5.112 1.375
Tl 1.673 20.387 4.126
```

Results
total magnetic moment	0.00	μB/f.u.

ii | ## Dy2ScTl (PBE)

Data for crystalline Dy2ScTl at its relaxed geometry.

Cell and atoms, written as extended XYZ:
```
16
Lattice="7.583 0.000 0.000 0.000 7.583 0.000 0.000 0.000 7.583" Properties=species:S:1:pos:R:3 pbc="T T T"
Dy 1.896 1.896 1.896
Dy 1.896 1.896 5.688
Dy 1.896 5.688 1.896
Dy 1.896 5.688 5.688
Dy 5.688 1.896 1.896
Dy 5.688 1.896 5.688
Dy 5.688 5.688 1.896
Dy 5.688 5.688 5.688
Sc 0.000 0.000 0.000
Sc 0.000 3.792 3.792
Sc 3.792 0.000 3.792
Sc 3.792 3.792 0.000
Tl 0.000 0.000 3.792
Tl 0.000 3.792 0.000
Tl 3.792 0.000 0.000
Tl 3.792 3.792 3.792
```

Results
total magnetic moment	1.39	μB/f.u.

It is i that is the least stable of them.

i | ## Dy2ScTl (PBE)

Data for crystalline Dy2ScTl at its relaxed geometry.

Cell and atoms, written as extended XYZ:
```
4
Lattice="3.611 0.000 0.000 0.000 3.611 0.000 0.000 0.000 8.604" Properties=species:S:1:pos:R:3 pbc="T T T"
Dy 0.000 0.000 2.095
Dy 0.000 0.000 6.509
Sc 1.806 1.806 4.302
Tl 1.806 1.806 0.000
```

Results
total magnetic moment	0.00	μB/f.u.

ii | ## Dy2ScTl (PBE)

Data for crystalline Dy2ScTl at its relaxed geometry.

Cell and atoms, written as extended XYZ:
```
4
Lattice="5.347 0.000 0.000 0.000 5.347 0.000 0.000 0.000 3.844" Properties=species:S:1:pos:R:3 pbc="T T T"
Dy 0.000 2.674 0.000
Dy 2.674 0.000 0.000
Sc 0.000 0.000 1.922
Tl 2.674 2.674 1.922
```

Results
total magnetic moment	0.00	μB/f.u.

It is ii that is the least stable of them.